Compound: Nd2Au
Source: the Alexandria database
Functional: GGA-PBE
Structure: optimized geometry

Results
The value obtained for the density of states at the Fermi level is 12.46 states/eV/cell. For the formation energy from the elements, the calculation gives -0.55 eV per atom. The value obtained for the total energy is -4.82 eV/atom.

a = 7.3253 Å, b = 5.1263 Å, c = 9.3175 Å
α = 90.00°, β = 90.00°, γ = 90.00°
Space group Pnma (No. 62)
Inequivalent atoms, fractional coordinates:
Nd  0.0072  0.2500  0.1761 (multiplicity 4)
Nd  0.1516  0.2500  0.5855 (multiplicity 4)
Au  0.2409  0.2500  0.9042 (multiplicity 4)